# ReGePO (PBE-GGA, optimized geometry)
# E_tot   -7.256 eV/atom
# V   16.295 A^3/atom
# SG   P4/nmm
# Crystal system   tetragonal
# Total moment   0.003 μB per formula unit
data_ReGePO
_cell_length_a 3.676
_cell_length_b 3.676
_cell_length_c 9.649
_cell_angle_alpha 90.00
_cell_angle_beta 90.00
_cell_angle_gamma 90.00
_space_group_name_H-M_alt 'P 1'
_space_group_IT_number 1
_space_group_name_Hall 'P 1'
loop_
_atom_site_label
_atom_site_fract_x
_atom_site_fract_y
_atom_site_fract_z
Re1 0.250 0.750 0.000
Re2 0.750 0.250 0.000
Ge1 0.250 0.250 0.395
Ge2 0.750 0.750 0.605
P1 0.250 0.250 0.829
P2 0.750 0.750 0.171
O1 0.250 0.750 0.500
O2 0.750 0.250 0.500

---

# ReGePO (PBE-GGA, optimized geometry)
# E_tot   -6.993 eV/atom
# V   14.526 A^3/atom
# SG   Pmc2_1
# Crystal system   orthorhombic
# Total moment   0.116 μB per formula unit
data_ReGePO
_cell_length_a 2.911
_cell_length_b 6.026
_cell_length_c 6.625
_cell_angle_alpha 90.00
_cell_angle_beta 90.00
_cell_angle_gamma 90.00
_space_group_name_H-M_alt 'P 1'
_space_group_IT_number 1
_space_group_name_Hall 'P 1'
loop_
_atom_site_label
_atom_site_fract_x
_atom_site_fract_y
_atom_site_fract_z
Re1 0.000 0.212 0.000
Re2 0.000 0.788 0.500
Ge1 0.500 0.420 0.531
Ge2 0.500 0.580 0.031
P1 0.000 0.137 0.341
P2 0.000 0.863 0.841
O1 0.500 0.279 0.781
O2 0.500 0.721 0.281

---

# ReGePO (PBE-GGA, optimized geometry)
# E_tot   -7.100 eV/atom
# V   15.874 A^3/atom
# SG   Pmc2_1
# Crystal system   orthorhombic
# Total moment   0.004 μB per formula unit
data_ReGePO
_cell_length_a 3.582
_cell_length_b 6.817
_cell_length_c 5.200
_cell_angle_alpha 90.00
_cell_angle_beta 90.00
_cell_angle_gamma 90.00
_space_group_name_H-M_alt 'P 1'
_space_group_IT_number 1
_space_group_name_Hall 'P 1'
loop_
_atom_site_label
_atom_site_fract_x
_atom_site_fract_y
_atom_site_fract_z
Re1 0.000 0.047 0.000
Re2 0.000 0.953 0.500
Ge1 0.500 0.390 0.401
Ge2 0.500 0.610 0.901
P1 0.500 0.165 0.768
P2 0.500 0.835 0.268
O1 0.000 0.238 0.312
O2 0.000 0.762 0.812

---

# ReGePO (PBE-GGA, optimized geometry)
# E_tot   -6.679 eV/atom
# V   14.197 A^3/atom
# SG   P4/nmm
# Crystal system   tetragonal
# Total moment   0.003 μB per formula unit
data_ReGePO
_cell_length_a 3.338
_cell_length_b 3.338
_cell_length_c 10.190
_cell_angle_alpha 90.00
_cell_angle_beta 90.00
_cell_angle_gamma 90.00
_space_group_name_H-M_alt 'P 1'
_space_group_IT_number 1
_space_group_name_Hall 'P 1'
loop_
_atom_site_label
_atom_site_fract_x
_atom_site_fract_y
_atom_site_fract_z
Re1 0.250 0.250 0.130
Re2 0.750 0.750 0.870
Ge1 0.250 0.750 0.500
Ge2 0.750 0.250 0.500
P1 0.250 0.250 0.751
P2 0.750 0.750 0.249
O1 0.250 0.750 0.000
O2 0.750 0.250 0.000

---

# ZrGePO (PBE-GGA, optimized geometry)
# E_tot   -7.136 eV/atom
# V   15.919 A^3/atom
# SG   P4/nmm
# Crystal system   tetragonal
# Total moment   0.000 μB per formula unit
data_ZrGePO
_cell_length_a 3.586
_cell_length_b 3.586
_cell_length_c 9.903
_cell_angle_alpha 90.00
_cell_angle_beta 90.00
_cell_angle_gamma 90.00
_space_group_name_H-M_alt 'P 1'
_space_group_IT_number 1
_space_group_name_Hall 'P 1'
loop_
_atom_site_label
_atom_site_fract_x
_atom_site_fract_y
_atom_site_fract_z
Zr1 0.250 0.250 0.128
Zr2 0.750 0.750 0.872
Ge1 0.250 0.750 0.500
Ge2 0.750 0.250 0.500
P1 0.250 0.250 0.738
P2 0.750 0.750 0.262
O1 0.250 0.750 0.000
O2 0.750 0.250 0.000

---

# ZrGePO (PBE-GGA, optimized geometry)
# E_tot   -6.719 eV/atom
# V   15.390 A^3/atom
# SG   P4/nmm
# Crystal system   tetragonal
# Total moment   0.001 μB per formula unit
data_ZrGePO
_cell_length_a 5.034
_cell_length_b 5.034
_cell_length_c 4.859
_cell_angle_alpha 90.00
_cell_angle_beta 90.00
_cell_angle_gamma 90.00
_space_group_name_H-M_alt 'P 1'
_space_group_IT_number 1
_space_group_name_Hall 'P 1'
loop_
_atom_site_label
_atom_site_fract_x
_atom_site_fract_y
_atom_site_fract_z
Zr1 0.250 0.750 0.000
Zr2 0.750 0.250 0.000
Ge1 0.250 0.250 0.394
Ge2 0.750 0.750 0.606
P1 0.250 0.250 0.871
P2 0.750 0.750 0.129
O1 0.250 0.750 0.500
O2 0.750 0.250 0.500

---

# ZrGePO (PBE-GGA, optimized geometry)
# E_tot   -7.045 eV/atom
# V   19.406 A^3/atom
# SG   Pmc2_1
# Crystal system   orthorhombic
# Total moment   0.001 μB per formula unit
data_ZrGePO
_cell_length_a 3.768
_cell_length_b 7.776
_cell_length_c 5.298
_cell_angle_alpha 90.00
_cell_angle_beta 90.00
_cell_angle_gamma 90.00
_space_group_name_H-M_alt 'P 1'
_space_group_IT_number 1
_space_group_name_Hall 'P 1'
loop_
_atom_site_label
_atom_site_fract_x
_atom_site_fract_y
_atom_site_fract_z
Zr1 0.000 0.137 0.000
Zr2 0.000 0.863 0.500
Ge1 0.500 0.381 0.634
Ge2 0.500 0.619 0.134
P1 0.000 0.199 0.493
P2 0.000 0.801 0.993
O1 0.500 0.237 0.974
O2 0.500 0.763 0.474

---

# ZrGePO (PBE-GGA, optimized geometry)
# E_tot   -7.015 eV/atom
# V   19.956 A^3/atom
# SG   Pmc2_1
# Crystal system   orthorhombic
# Total moment   0.009 μB per formula unit
data_ZrGePO
_cell_length_a 3.834
_cell_length_b 5.857
_cell_length_c 7.110
_cell_angle_alpha 90.00
_cell_angle_beta 90.00
_cell_angle_gamma 90.00
_space_group_name_H-M_alt 'P 1'
_space_group_IT_number 1
_space_group_name_Hall 'P 1'
loop_
_atom_site_label
_atom_site_fract_x
_atom_site_fract_y
_atom_site_fract_z
Zr1 0.000 0.096 0.000
Zr2 0.000 0.904 0.500
Ge1 0.500 0.282 0.589
Ge2 0.500 0.718 0.089
P1 0.500 0.382 0.911
P2 0.500 0.618 0.411
O1 0.000 0.121 0.277
O2 0.000 0.879 0.777